Arrangement one

Density functional theory data (GGA-PBE) for a relaxed CaTaAu2 crystal.

Computed properties:
Crystal system: orthorhombic
Fermi-level density of states (states/eV per atom): 0.607

Unit cell a=3.0311 b=3.8321 c=7.1043 alpha=90.00 beta=90.00 gamma=90.00
Closest atoms and distances in Å follow each position.
Space group Pmmm (No. 47)
Symmetry-distinct sites (fractional):
1 Ca 0.0000 0.0000 0.0000 x1  2 Ca 3.03, 8 Au 3.19
2 Ta 0.0000 0.0000 0.5000 x1  8 Au 2.86, 2 Ta 3.03
3 Au 0.5000 0.5000 0.2894 x2  4 Ta 2.86, 3 Au 2.99-3.03, 4 Ca 3.19



Arrangement two

Density functional theory data (GGA-PBE) for a relaxed CaTaAu2 crystal.

Computed properties:
Crystal system: tetragonal
Fermi-level density of states (states/eV per atom): 0.757

Unit cell a=3.5177 b=3.5177 c=6.7619 alpha=90.00 beta=90.00 gamma=90.00
Closest atoms and distances in Å follow each position.
Space group P4mm (No. 99)
Symmetry-distinct sites (fractional):
1 Ca 0.0000 0.0000 0.0000 x1  5 Au 3.01-3.33, 4 Ta 3.29
2 Ta 0.5000 0.5000 0.3186 x1  5 Au 2.80-2.92
3 Au 0.0000 0.0000 0.5081 x1  4 Ta 2.80, 4 Au 2.98
4 Au 0.5000 0.5000 0.7501 x1  1 Ta 2.92, 4 Au 2.98, 4 Ca 3.01



Relative energy table, unit kJ/mol of atoms: arrangement one 0.0; arrangement two 22.3



Arrangement one

Density functional theory data (GGA-PBE) for a relaxed CaTaAu2 crystal.

Computed properties:
Crystal system: trigonal
Fermi-level density of states (states/eV per atom): 0.877

Unit cell a=3.6251 b=3.6251 c=24.1438 alpha=90.00 beta=90.00 gamma=120.00
Closest atoms and distances in Å follow each position.
Space group R-3m (No. 166, hexagonal axes)
Symmetry-distinct sites (fractional):
1 Ca 0.0000 0.0000 0.0000 x3  6 Au 3.10
2 Ta 0.0000 0.0000 0.5000 x3  6 Au 2.72
3 Au 0.0000 0.0000 0.2385 x6  3 Ta 2.72



Arrangement two

Density functional theory data (GGA-PBE) for a relaxed CaTaAu2 crystal.

Computed properties:
Crystal system: tetragonal
Fermi-level density of states (states/eV per atom): 1.018

Unit cell a=4.0788 b=4.0788 c=9.6515 alpha=90.00 beta=90.00 gamma=90.00
Closest atoms and distances in Å follow each position.
Space group I-4m2 (No. 119)
Symmetry-distinct sites (fractional):
1 Ca 0.0000 0.0000 0.0000 x2  8 Au 2.88-3.16, 4 Ta 3.16
2 Ta 0.0000 0.5000 0.7500 x2  8 Au 2.88-3.16, 4 Ca 3.16
3 Au 0.0000 0.0000 0.5000 x2  4 Ca 2.88, 4 Ta 3.16, 4 Au 3.16
4 Au 0.0000 0.5000 0.2500 x2  4 Ta 2.88, 4 Ca 3.16, 4 Au 3.16



Arrangement three

Density functional theory data (GGA-PBE) for a relaxed CaTaAu2 crystal.

Computed properties:
Crystal system: monoclinic
Fermi-level density of states (states/eV per atom): 0.634

Unit cell a=8.3810 b=3.5036 c=6.5397 alpha=90.00 beta=103.46 gamma=90.00
Closest atoms and distances in Å follow each position.
Space group C2/m (No. 12)
Symmetry-distinct sites (fractional):
1 Ca 0.0000 0.0000 0.0000 x2  6 Au 3.17, 2 Ca 3.50
2 Ta 0.0000 0.5000 0.5000 x2  6 Au 2.71-2.76
3 Au 0.2362 0.0000 0.6863 x4  3 Ta 2.71-2.76



Relative energy table, unit kJ/mol of atoms: arrangement one 5.1; arrangement two 12.9; arrangement three 0.0



Arrangement one

Density functional theory data (GGA-PBE) for a relaxed CaTaAu2 crystal.

Computed properties:
Crystal system: orthorhombic
Fermi-level density of states (states/eV per atom): 0.810

Unit cell a=3.0700 b=4.9616 c=10.7617 alpha=90.00 beta=90.00 gamma=90.00
Closest atoms and distances in Å follow each position.
Space group Imm2 (No. 44)
Symmetry-distinct sites (fractional):
1 Ca 0.0000 0.0000 0.0000 x2  6 Au 2.92-3.23, 2 Ca 3.07
2 Ta 0.0000 0.5000 0.7837 x2  6 Au 2.82-2.96, 2 Ta 3.07
3 Au 0.0000 0.0000 0.5032 x2  2 Ta 2.82, 4 Ca 2.92, 4 Au 2.93-3.07
4 Au 0.0000 0.5000 0.2357 x2  4 Au 2.93-3.07, 4 Ta 2.96, 2 Ca 3.23



Arrangement two

Density functional theory data (GGA-PBE) for a relaxed CaTaAu2 crystal.

Computed properties:
Crystal system: orthorhombic
Fermi-level density of states (states/eV per atom): 0.495

Unit cell a=3.0404 b=5.0657 c=5.1463 alpha=90.00 beta=90.00 gamma=90.00
Closest atoms and distances in Å follow each position.
Space group Pmm2 (No. 25)
Symmetry-distinct sites (fractional):
1 Ca 0.0000 0.0000 0.0000 x1  8 Au 2.97-3.01, 2 Ca 3.04
2 Ta 0.0000 0.5000 0.5509 x1  8 Au 2.94-3.04, 2 Ta 3.04
3 Au 0.5000 0.0000 0.4962 x1  4 Ta 2.97, 4 Ca 2.97-3.01, 2 Au 3.04
4 Au 0.5000 0.5000 0.0627 x1  4 Ta 2.94-3.04, 4 Ca 2.97, 2 Au 3.04



Arrangement three

Density functional theory data (GGA-PBE) for a relaxed CaTaAu2 crystal.

Computed properties:
Crystal system: tetragonal
Fermi-level density of states (states/eV per atom): 1.093

Unit cell a=5.0629 b=5.0629 c=16.8262 alpha=90.00 beta=90.00 gamma=90.00
Closest atoms and distances in Å follow each position.
Space group I-42d (No. 122)
Symmetry-distinct sites (fractional):
1 Ca 0.0000 0.0000 0.0000 x4  4 Au 2.93
2 Ta 0.0000 0.0000 0.5000 x4  4 Au 2.63
3 Au 0.1852 0.2500 0.6250 x8  2 Ta 2.63, 2 Ca 2.93



Arrangement four

Density functional theory data (GGA-PBE) for a relaxed CaTaAu2 crystal.

Computed properties:
Crystal system: monoclinic
Fermi-level density of states (states/eV per atom): 0.616

Unit cell a=10.7155 b=2.9699 c=5.1581 alpha=90.00 beta=102.97 gamma=90.00
Closest atoms and distances in Å follow each position.
Space group Cm (No. 8)
Symmetry-distinct sites (fractional):
1 Ca 0.0000 0.0000 0.0000 x2  7 Au 2.88-3.04, 2 Ca 2.97
2 Ta 0.2863 0.5000 0.3926 x2  7 Au 2.92-3.01, 2 Ta 2.97
3 Au 0.0268 0.5000 0.5016 x2  3 Ta 2.92-2.96, 4 Ca 2.94-3.04, 4 Au 2.97-3.08
4 Au 0.2484 0.0000 0.8736 x2  3 Ca 2.88-3.02, 4 Au 2.97-3.08, 4 Ta 3.00-3.01



Relative energy table, unit kJ/mol of atoms: arrangement one 17.0; arrangement two 0.0; arrangement three 57.6; arrangement four 10.4



Arrangement one

Density functional theory data (GGA-PBE) for a relaxed Ca3TaAu crystal.

Computed properties:
Crystal system: cubic
Fermi-level density of states (states/eV per atom): 0.803

Unit cell a=5.4953 b=5.4953 c=5.4953 alpha=90.00 beta=90.00 gamma=90.00
Closest atoms and distances in Å follow each position.
Space group Pm-3m (No. 221)
Symmetry-distinct sites (fractional):
1 Ca 0.0000 0.0000 0.5000 x3  2 Ta 2.75
2 Ta 0.0000 0.0000 0.0000 x1  6 Ca 2.75
3 Au 0.5000 0.5000 0.5000 x1  12 Ca 3.89



Arrangement two

Density functional theory data (GGA-PBE) for a relaxed Ca3TaAu crystal.

Computed properties:
Crystal system: cubic
Fermi-level density of states (states/eV per atom): 0.490

Unit cell a=5.5583 b=5.5583 c=5.5583 alpha=90.00 beta=90.00 gamma=90.00
Closest atoms and distances in Å follow each position.
Space group Pm-3m (No. 221)
Symmetry-distinct sites (fractional):
1 Ca 0.0000 0.0000 0.5000 x3  2 Au 2.78
2 Ta 0.5000 0.5000 0.5000 x1  12 Ca 3.93
3 Au 0.0000 0.0000 0.0000 x1  6 Ca 2.78



Relative energy table, unit kJ/mol of atoms: arrangement one 40.3; arrangement two 0.0



Arrangement one

Density functional theory data (GGA-PBE) for a relaxed CaTa3Au crystal.

Computed properties:
Crystal system: cubic
Fermi-level density of states (states/eV per atom): 2.493

Unit cell a=5.0567 b=5.0567 c=5.0567 alpha=90.00 beta=90.00 gamma=90.00
Closest atoms and distances in Å follow each position.
Space group Pm-3m (No. 221)
Symmetry-distinct sites (fractional):
1 Ca 0.0000 0.0000 0.0000 x1  12 Ta 3.58
2 Ta 0.0000 0.5000 0.5000 x3  2 Au 2.53
3 Au 0.5000 0.5000 0.5000 x1  6 Ta 2.53



Arrangement two

Density functional theory data (GGA-PBE) for a relaxed CaTa3Au crystal.

Computed properties:
Crystal system: cubic
Fermi-level density of states (states/eV per atom): 0.979

Unit cell a=4.7018 b=4.7018 c=4.7018 alpha=90.00 beta=90.00 gamma=90.00
Closest atoms and distances in Å follow each position.
Space group Pm-3m (No. 221)
Symmetry-distinct sites (fractional):
1 Ca 0.0000 0.0000 0.0000 x1  6 Ta 2.35
2 Ta 0.0000 0.0000 0.5000 x3  2 Ca 2.35
3 Au 0.5000 0.5000 0.5000 x1  12 Ta 3.32



Relative energy table, unit kJ/mol of atoms: arrangement one 0.0; arrangement two 97.6



Arrangement one

Density functional theory data (GGA-PBE) for a relaxed CaTbAu crystal.

Computed properties:
Crystal system: trigonal
Fermi-level density of states (states/eV per atom): 0.870

Unit cell a=4.8761 b=4.8761 c=4.3203 alpha=90.00 beta=90.00 gamma=120.00
Closest atoms and distances in Å follow each position.
Space group P3m1 (No. 156)
Symmetry-distinct sites (fractional):
1 Ca 0.0000 0.0000 0.0000 x1  3 Au 3.21, 6 Tb 3.53-3.57
2 Tb 0.3333 0.6667 0.4921 x1  3 Au 2.89
3 Au 0.6667 0.3333 0.6451 x1  3 Tb 2.89, 3 Ca 3.21



Arrangement two

Density functional theory data (GGA-PBE) for a relaxed CaTbAu crystal.

Computed properties:
Crystal system: tetragonal
Fermi-level density of states (states/eV per atom): 0.728

Unit cell a=3.6621 b=3.6621 c=12.8990 alpha=90.00 beta=90.00 gamma=90.00
Closest atoms and distances in Å follow each position.
Space group I4mm (No. 107)
Symmetry-distinct sites (fractional):
1 Ca 0.0000 0.0000 0.0000 x2  4 Au 3.25, 1 Tb 3.49
2 Tb 0.0000 0.0000 0.2702 x2  4 Au 3.00
3 Au 0.0000 0.0000 0.6521 x2  4 Tb 3.00, 4 Ca 3.25



Relative energy table, unit kJ/mol of atoms: arrangement one 17.1; arrangement two 0.0